Entry 1:
ZnTe2S GGA-PBEsol relaxed; formation energy from raw total energies = 18 kJ/mol of atoms
1.0
4.079 0.000 0.000
2.039 3.532 0.000
2.039 1.177 7.845
Zn Te S
1 2 1
direct
0.500 0.500 0.500
0.895 0.895 0.316
0.105 0.105 0.684
0.000 0.000 0.000

Entry 2:
Th2S3 GGA-PBEsol relaxed; formation energy from raw total energies = -196 kJ/mol of atoms
1.0
-0.908 -3.775 0.316
2.032 -1.358 -10.388
10.285 -2.282 2.310
Th S
8 12
direct
0.250 0.512 0.304
0.750 0.488 0.696
0.750 0.012 0.196
0.250 0.988 0.804
0.250 0.185 0.486
0.750 0.815 0.514
0.750 0.685 0.014
0.250 0.315 0.986
0.250 0.556 0.875
0.750 0.444 0.125
0.750 0.056 0.625
0.250 0.944 0.375
0.250 0.623 0.551
0.750 0.377 0.449
0.750 0.123 0.949
0.250 0.877 0.051
0.250 0.207 0.224
0.750 0.793 0.776
0.750 0.707 0.276
0.250 0.293 0.724

Entry 3:
ThS2 GGA-PBEsol relaxed; formation energy from raw total energies = -198 kJ/mol of atoms
1.0
4.225 0.000 0.000
0.000 7.195 0.000
0.000 0.000 8.557
Th S
4 8
direct
0.250 0.249 0.121
0.750 0.751 0.879
0.250 0.749 0.379
0.750 0.251 0.621
0.250 0.860 0.069
0.750 0.140 0.931
0.250 0.360 0.431
0.750 0.640 0.569
0.250 0.970 0.667
0.750 0.030 0.333
0.250 0.470 0.833
0.750 0.530 0.167

Entry 4:
TiS2 GGA-PBEsol relaxed; formation energy from raw total energies = -128 kJ/mol of atoms
1.0
-2.546 1.664 -1.387
2.255 -1.526 -1.940
-3.093 -4.667 0.077
S Ti
2 1
direct
0.667 0.333 0.255
0.333 0.667 0.745
0.000 0.000 0.000

Entry 5:
Ti2S3 GGA-PBEsol relaxed; formation energy from raw total energies = -142 kJ/mol of atoms
1.0
-2.378 4.926 2.105
1.159 -4.479 3.630
10.219 5.467 -1.248
Ti S
8 12
direct
0.463 0.757 0.381
0.127 0.087 0.383
0.873 0.913 0.617
0.537 0.243 0.619
0.293 0.757 0.881
0.960 0.087 0.883
0.707 0.243 0.119
0.040 0.913 0.117
0.246 0.332 0.748
0.583 0.000 0.750
0.913 0.668 0.752
0.417 0.000 0.250
0.754 0.668 0.252
0.087 0.332 0.248
0.500 0.500 0.500
0.842 0.188 0.499
0.158 0.812 0.501
0.654 0.812 0.001
0.000 0.500 0.000
0.346 0.188 0.999

Entry 6:
TiS GGA-PBEsol relaxed; formation energy from raw total energies = -151 kJ/mol of atoms
1.0
-0.682 2.487 1.904
-2.244 -2.202 -0.626
1.898 -3.386 5.103
S Ti
2 2
direct
0.333 0.667 0.750
0.667 0.333 0.250
0.000 0.000 0.500
0.000 0.000 0.000

Entry 7:
TiS2 GGA-PBEsol relaxed; formation energy from raw total energies = -126 kJ/mol of atoms
1.0
6.790 0.000 0.000
3.395 5.880 0.000
3.395 1.960 5.544
Ti S
4 8
direct
0.625 0.125 0.625
0.625 0.625 0.125
0.625 0.625 0.625
0.125 0.625 0.625
0.374 0.875 0.875
0.375 0.375 0.375
0.375 0.876 0.375
0.375 0.375 0.876
0.876 0.375 0.375
0.875 0.875 0.875
0.875 0.875 0.374
0.875 0.374 0.875

Entry 8:
Ti2S GGA-PBEsol relaxed; formation energy from raw total energies = -117 kJ/mol of atoms
1.0
-1.479 0.569 -2.874
-7.378 -8.164 2.180
-8.350 9.180 6.117
Ti S
24 12
direct
0.500 0.413 0.756
0.500 0.380 0.078
0.000 0.810 0.208
0.000 0.469 0.390
0.000 0.087 0.256
0.500 0.620 0.922
0.000 0.588 0.079
0.000 0.913 0.744
0.500 0.912 0.579
0.000 0.846 0.980
0.500 0.310 0.292
0.500 0.088 0.421
0.500 0.031 0.890
0.500 0.969 0.110
0.000 0.190 0.792
0.500 0.654 0.480
0.500 0.690 0.708
0.500 0.346 0.520
0.000 0.412 0.921
0.000 0.531 0.610
0.500 0.587 0.244
0.000 0.880 0.422
0.000 0.154 0.020
0.000 0.120 0.578
0.000 0.568 0.794
0.500 0.068 0.706
0.000 0.432 0.206
0.000 0.755 0.588
0.500 0.815 0.850
0.500 0.932 0.294
0.500 0.185 0.150
0.500 0.745 0.088
0.000 0.315 0.650
0.500 0.255 0.912
0.000 0.685 0.350
0.000 0.245 0.412